Entry 1:
20
Lattice="6.297 0.000 0.000 0.000 6.753 0.000 -1.068 0.000 11.603" Properties=species:S:1:pos:R:3 comment="Ba2P7Cl | Alexandria | PBEsol | optimized geometry" formation_energy_uncorrected_kj_per_mol_fu=-773 mass_density_g_cm3=3.5 spacegroup="P2_1/m (11)" pbc="T T T"
Ba 0.049 1.688 4.029
Ba 0.681 1.688 11.061
Ba 4.548 5.065 0.542
Ba 5.180 5.065 7.574
P 0.633 5.065 4.726
P 0.876 5.065 2.561
P 1.481 0.515 7.959
P 1.481 2.861 7.959
P 2.211 3.384 2.246
P 2.211 6.746 2.246
P 2.506 1.688 6.358
P 2.723 5.065 5.245
P 3.018 0.007 9.358
P 3.018 3.369 9.358
P 3.748 3.892 3.644
P 3.748 6.238 3.644
P 4.354 1.688 9.042
P 4.596 1.688 6.877
Cl -0.112 5.065 10.570
Cl 5.342 1.688 1.033

=====

Entry 2:
8
Lattice="-3.828 3.828 3.828 3.828 -3.828 3.828 3.828 3.828 -3.828" Properties=species:S:1:pos:R:3 comment="K3SbS4 | Alexandria | PBEsol | optimized geometry" formation_energy_uncorrected_kj_per_mol_fu=-680 mass_density_g_cm3=2.7 spacegroup="I-43m (217)" de_polymorph_kj_per_mol_atoms=0.5 pbc="T T T"
K 3.828 0.000 0.000
K 0.000 3.828 0.000
K 0.000 0.000 3.828
Sb 0.000 0.000 0.000
S 1.366 1.366 -1.366
S 1.366 -1.366 1.366
S -1.366 1.366 1.366
S 2.463 2.463 2.463

=====

Entry 3:
19
Lattice="5.198 0.000 0.000 -0.609 5.355 0.000 -2.432 -2.396 6.562" Properties=species:S:1:pos:R:3 comment="Li3MnVP2H2O10 | Alexandria | PBEsol | optimized geometry" mass_density_g_cm3=3.2 total_energy_ev_per_atom=-7.06 spacegroup="P1 (1)" pbc="T T T"
Li 0.000 0.000 0.000
Li -0.937 -0.737 5.379
Li 2.642 1.591 1.922
Mn 1.672 4.140 0.985
V 0.479 2.987 4.210
P -0.212 0.279 2.553
P 1.694 0.362 6.038
H -1.556 2.132 5.096
H 2.664 3.631 3.203
O -0.061 3.109 0.565
O -0.619 1.576 3.277
O -0.191 -0.902 3.572
O -0.987 2.737 5.636
O 1.121 0.394 1.794
O 2.719 2.493 0.063
O 1.866 3.182 2.820
O 1.634 1.597 5.089
O 2.208 -0.925 5.305
O 3.890 0.025 1.479

=====

Entry 4:
12
Lattice="3.929 -2.551 0.000 3.929 2.551 0.000 -0.517 0.000 7.316" Properties=species:S:1:pos:R:3 comment="SrGeP2O8 | Alexandria | PBEsol | optimized geometry" formation_energy_uncorrected_kj_per_mol_fu=-2748 mass_density_g_cm3=4.0 spacegroup="C2/m (12)" de_polymorph_kj_per_mol_atoms=0.3 pbc="T T T"
Sr 0.000 0.000 0.000
Ge -0.259 0.000 3.658
P 2.518 0.000 5.181
P 4.822 0.000 2.135
O 1.544 0.000 3.999
O 3.428 1.269 5.041
O 3.912 1.269 2.275
O 1.947 0.000 6.583
O 5.393 0.000 0.732
O 3.428 -1.269 5.041
O 3.912 -1.269 2.275
O 5.797 0.000 3.316